A relaxed Rb2NaP crystal, computed with PBE-GGA.

abc: 8.832 5.100 8.078
angles: 90.00 111.47 90.00
Space group Cm (No. 8)
Asymmetric unit:
Rb (0.000, 0.000, 0.000)
Rb (0.174, 0.000, 0.519)
Na (0.421, 0.000, 0.261)
P (0.254, 0.500, 0.261)

Computed properties:
**Final energy**: -2.361 eV/atom
**Fermi-level density of states**: 6.5 states/eV per cell
**E_form**: -0.19 eV/atom
**V**: 339 Å³ per cell